Record 1
This record from Alexandria via LeMat-Bulk describes GdSbPt after structural relaxation. The functional is GGA-PBE.

VASP energy (eV per atom): -8.777
Calculated volume (Å³ per cell): 71.4

a = 5.2940 Å, b = 5.2940 Å, c = 5.2940 Å
α = 135.67°, β = 135.67°, γ = 64.48°
Last column: nearest neighbours and their distance in Å.
Fractional coordinates of all 3 atoms:
Gd  0.0000  0.0000  0.0000  5 Sb 2.97-3.20, 5 Pt 3.09-3.23
Sb  0.6687  0.6687  0.0000  1 Pt 2.75, 1 Gd 2.97
Pt  0.3611  0.3611  0.0000  1 Sb 2.75



Record 2
This record from Alexandria via LeMat-Bulk describes Sc6TlAg after structural relaxation. The functional is GGA-PBE.

VASP energy (eV per atom): -5.333
Calculated volume (Å³ per cell): 191.0

a = 6.7505 Å, b = 6.7505 Å, c = 5.8164 Å
α = 115.46°, β = 115.46°, γ = 101.32°
Last column: nearest neighbours and their distance in Å.
Fractional coordinates of all 8 atoms:
Sc  0.2419  0.7582  0.2502  4 Sc 2.91-3.15, 1 Ag 2.91, 1 Tl 3.06
Sc  0.2418  0.7581  0.7498  4 Sc 2.91-3.15, 1 Ag 2.91, 1 Tl 3.06
Sc  0.2538  0.2538  0.7536  10 Sc 3.10-3.43, 2 Tl 3.29-3.30, 2 Ag 3.32
Sc  0.7462  0.7462  0.2464  10 Sc 3.10-3.43, 2 Tl 3.29-3.30, 2 Ag 3.32
Sc  0.7582  0.2419  0.2502  4 Sc 2.91-3.15, 1 Ag 2.91, 1 Tl 3.06
Sc  0.7581  0.2418  0.7498  4 Sc 2.91-3.15, 1 Ag 2.91, 1 Tl 3.06
Tl  0.5000  0.5000  0.5000  8 Sc 3.06-3.30, 2 Ag 3.14
Ag  0.0000  0.0000  0.0000  4 Sc 2.91, 2 Tl 3.14



Record 3
This record from Alexandria via LeMat-Bulk describes Nd2CdSi after structural relaxation. The functional is GGA-PBE.

VASP energy (eV per atom): -4.365
Calculated volume (Å³ per cell): 104.0

a = 5.1173 Å, b = 5.1173 Å, c = 3.9702 Å
α = 90.00°, β = 90.00°, γ = 90.00°
Last column: nearest neighbours and their distance in Å.
Fractional coordinates of all 4 atoms:
Nd  0.0000  0.5000  0.0000  4 Cd 3.24, 4 Si 3.24, 4 Nd 3.62
Nd  0.5000  0.0000  0.0000  4 Cd 3.24, 4 Si 3.24, 4 Nd 3.62
Cd  0.0000  0.0000  0.5000  8 Nd 3.24, 4 Si 3.62
Si  0.5000  0.5000  0.5000  8 Nd 3.24, 4 Cd 3.62



Record 4
This record from Alexandria via LeMat-Bulk describes Nd2Ga3 after structural relaxation. The functional is GGA-PBE.

VASP energy (eV per atom): -4.375
Calculated volume (Å³ per cell): 243.2

a = 13.3130 Å, b = 13.3130 Å, c = 4.2476 Å
α = 90.00°, β = 90.00°, γ = 161.15°
Last column: nearest neighbours and their distance in Å.
Fractional coordinates of all 10 atoms:
Nd  0.0719  0.9281  0.7500  12 Ga 3.27-3.42
Nd  0.2029  0.7971  0.2500  7 Ga 3.12-3.28
Nd  0.7971  0.2029  0.7500  7 Ga 3.12-3.28
Nd  0.9281  0.0719  0.2500  12 Ga 3.27-3.42
Ga  0.3278  0.6722  0.2500  2 Ga 2.56
Ga  0.3822  0.6178  0.7500  3 Ga 2.48-2.56
Ga  0.4765  0.5235  0.7500  3 Ga 2.46-2.48
Ga  0.5235  0.4765  0.2500  3 Ga 2.46-2.48
Ga  0.6178  0.3822  0.2500  3 Ga 2.48-2.56
Ga  0.6722  0.3278  0.7500  2 Ga 2.56



Record 5
This record from Alexandria via LeMat-Bulk describes Sm3AgC after structural relaxation. The functional is GGA-PBE.

VASP energy (eV per atom): -5.339
Calculated volume (Å³ per cell): 126.7

a = 5.0230 Å, b = 5.0230 Å, c = 5.0230 Å
α = 90.00°, β = 90.00°, γ = 90.00°
Last column: nearest neighbours and their distance in Å.
Fractional coordinates of all 5 atoms:
Sm  0.0000  0.0000  0.5000  2 C 2.51
Sm  0.0000  0.5000  0.0000  2 C 2.51
Sm  0.5000  0.0000  0.0000  2 C 2.51
Ag  0.5000  0.5000  0.5000  12 Sm 3.55
C  0.0000  0.0000  0.0000  6 Sm 2.51



Record 6
This record from Alexandria via LeMat-Bulk describes Mn2GaFe2Ni5 after structural relaxation. The functional is GGA-PBE.

VASP energy (eV per atom): -6.624
Calculated volume (Å³ per cell): 251.8

a = 8.2485 Å, b = 8.2485 Å, c = 3.7014 Å
α = 90.00°, β = 90.00°, γ = 90.00°
Last column: nearest neighbours and their distance in Å.
Fractional coordinates of all 20 atoms:
Mn  0.1753  0.3247  0.0000  3 Fe 2.38-2.48
Mn  0.3247  0.8247  0.0000  3 Fe 2.38-2.48
Mn  0.6753  0.1753  0.0000  3 Fe 2.38-2.48
Mn  0.8247  0.6753  0.0000  3 Fe 2.38-2.48
Ga  0.0000  0.0000  0.0000  8 Ni 2.56
Ga  0.5000  0.5000  0.0000  8 Ni 2.56
Fe  0.1210  0.6210  0.0000  6 Ni 2.33-2.39, 3 Mn 2.38-2.48
Fe  0.3790  0.1210  0.0000  6 Ni 2.33-2.39, 3 Mn 2.38-2.48
Fe  0.6210  0.8790  0.0000  6 Ni 2.33-2.39, 3 Mn 2.38-2.48
Fe  0.8790  0.3790  0.0000  6 Ni 2.33-2.39, 3 Mn 2.38-2.48
Ni  0.0000  0.5000  0.5000  4 Fe 2.33, 4 Ni 2.51
Ni  0.0691  0.7969  0.5000  2 Fe 2.39, 4 Ni 2.50-2.66, 2 Ga 2.56
Ni  0.2031  0.0691  0.5000  2 Fe 2.39, 4 Ni 2.50-2.66, 2 Ga 2.56
Ni  0.2969  0.5691  0.5000  2 Fe 2.39, 4 Ni 2.50-2.66, 2 Ga 2.56
Ni  0.4309  0.2969  0.5000  2 Fe 2.39, 4 Ni 2.50-2.66, 2 Ga 2.56
Ni  0.5000  0.0000  0.5000  4 Fe 2.33, 4 Ni 2.51
Ni  0.5691  0.7031  0.5000  2 Fe 2.39, 4 Ni 2.50-2.66, 2 Ga 2.56
Ni  0.7031  0.4309  0.5000  2 Fe 2.39, 4 Ni 2.50-2.66, 2 Ga 2.56
Ni  0.7969  0.9309  0.5000  2 Fe 2.39, 4 Ni 2.50-2.66, 2 Ga 2.56
Ni  0.9309  0.2031  0.5000  2 Fe 2.39, 4 Ni 2.50-2.66, 2 Ga 2.56



Record 7
This record from Alexandria via LeMat-Bulk describes Cr2AgCl2 after structural relaxation. The functional is GGA-PBE.

VASP energy (eV per atom): -4.928
Calculated volume (Å³ per cell): 110.6

a = 5.9391 Å, b = 5.9391 Å, c = 5.9391 Å
α = 132.83°, β = 132.83°, γ = 68.92°
Last column: nearest neighbours and their distance in Å.
Fractional coordinates of all 5 atoms:
Cr  0.2500  0.7500  0.5000  4 Cl 2.54
Cr  0.7500  0.2500  0.5000  4 Cl 2.54
Ag  0.0000  0.0000  0.0000  10 Cl 3.34-3.71, 8 Cr 3.41
Cl  0.3406  0.3406  0.0000  4 Cr 2.54
Cl  0.6594  0.6594  0.0000  4 Cr 2.54



Record 8
This record from Alexandria via LeMat-Bulk describes Hf2ReRu2 after structural relaxation. The functional is GGA-PBE.

VASP energy (eV per atom): -10.383
Calculated volume (Å³ per cell): 179.1

a = 6.5160 Å, b = 6.5160 Å, c = 4.2171 Å
α = 90.00°, β = 90.00°, γ = 90.00°
Last column: nearest neighbours and their distance in Å.
Fractional coordinates of all 10 atoms:
Hf  0.1786  0.3214  0.0000  6 Ru 2.70-2.97
Hf  0.3214  0.8214  0.0000  6 Ru 2.70-2.97
Hf  0.6786  0.1786  0.0000  6 Ru 2.70-2.97
Hf  0.8214  0.6786  0.0000  6 Ru 2.70-2.97
Re  0.0000  0.0000  0.5000  4 Ru 2.52
Re  0.5000  0.5000  0.5000  4 Ru 2.52
Ru  0.1389  0.6389  0.5000  2 Re 2.52, 1 Ru 2.56, 2 Hf 2.70
Ru  0.3611  0.1389  0.5000  2 Re 2.52, 1 Ru 2.56, 2 Hf 2.70
Ru  0.6389  0.8611  0.5000  2 Re 2.52, 1 Ru 2.56, 2 Hf 2.70
Ru  0.8611  0.3611  0.5000  2 Re 2.52, 1 Ru 2.56, 2 Hf 2.70



Record 9
This record from Alexandria via LeMat-Bulk describes DyZn2Pd6 after structural relaxation. The functional is GGA-PBE.

VASP energy (eV per atom): -4.546
Calculated volume (Å³ per cell): 172.9

a = 4.7834 Å, b = 4.7834 Å, c = 8.7230 Å
α = 90.00°, β = 90.00°, γ = 120.00°
Last column: nearest neighbours and their distance in Å.
Fractional coordinates of all 9 atoms:
Dy  0.0000  0.0000  0.0000  6 Pd 2.80
Zn  0.3333  0.6667  0.5000  6 Pd 2.62, 3 Zn 2.76
Zn  0.6667  0.3333  0.5000  6 Pd 2.62, 3 Zn 2.76
Pd  0.0000  0.3413  0.7395  2 Zn 2.62, 6 Pd 2.73-2.83, 1 Dy 2.80
Pd  0.0000  0.6587  0.2605  2 Zn 2.62, 6 Pd 2.73-2.83, 1 Dy 2.80
Pd  0.3413  0.0000  0.7395  2 Zn 2.62, 6 Pd 2.73-2.83, 1 Dy 2.80
Pd  0.3413  0.3413  0.2605  2 Zn 2.62, 6 Pd 2.73-2.83, 1 Dy 2.80
Pd  0.6587  0.0000  0.2605  2 Zn 2.62, 6 Pd 2.73-2.83, 1 Dy 2.80
Pd  0.6587  0.6587  0.7395  2 Zn 2.62, 6 Pd 2.73-2.83, 1 Dy 2.80



Record 10
This record from Alexandria via LeMat-Bulk describes Sm3Ga5Ni6 after structural relaxation. The functional is GGA-PBE.

VASP energy (eV per atom): -5.092
Calculated volume (Å³ per cell): 475.8

a = 4.0942 Å, b = 12.2591 Å, c = 9.4805 Å
α = 90.00°, β = 90.00°, γ = 90.00°
Last column: nearest neighbours and their distance in Å.
Fractional coordinates of all 28 atoms:
Sm  0.2500  0.0815  0.2484  8 Ni 3.01-3.28, 6 Ga 3.05-3.13
Sm  0.2500  0.4185  0.2484  8 Ni 3.01-3.28, 6 Ga 3.05-3.13
Sm  0.2500  0.7500  0.2586  6 Ga 2.98-3.06, 6 Ni 3.05-3.08
Sm  0.7500  0.2500  0.7414  6 Ga 2.98-3.06, 6 Ni 3.05-3.08
Sm  0.7500  0.5815  0.7516  8 Ni 3.01-3.28, 6 Ga 3.05-3.13
Sm  0.7500  0.9185  0.7516  8 Ni 3.01-3.28, 6 Ga 3.05-3.13
Ga  0.2500  0.0814  0.6412  5 Ni 2.42-2.51
Ga  0.2500  0.4186  0.6412  5 Ni 2.42-2.51
Ga  0.2500  0.6328  0.9836  5 Ni 2.42-2.52
Ga  0.2500  0.7500  0.6307  4 Ni 2.41-2.43
Ga  0.2500  0.8672  0.9836  5 Ni 2.42-2.52
Ga  0.7500  0.1328  0.0164  5 Ni 2.42-2.52
Ga  0.7500  0.2500  0.3693  4 Ni 2.41-2.43
Ga  0.7500  0.3672  0.0164  5 Ni 2.42-2.52
Ga  0.7500  0.5814  0.3588  5 Ni 2.42-2.51
Ga  0.7500  0.9186  0.3588  5 Ni 2.42-2.51
Ni  0.2500  0.0548  0.9042  4 Ga 2.42-2.51, 1 Ni 2.51
Ni  0.2500  0.2500  0.5026  4 Ga 2.41-2.45
Ni  0.2500  0.2500  0.9836  2 Ni 2.51, 4 Ga 2.52
Ni  0.2500  0.4452  0.9042  4 Ga 2.42-2.51, 1 Ni 2.51
Ni  0.2500  0.5818  0.4956  4 Ga 2.42-2.43
Ni  0.2500  0.9182  0.4956  4 Ga 2.42-2.43
Ni  0.7500  0.0818  0.5044  4 Ga 2.42-2.43
Ni  0.7500  0.4182  0.5044  4 Ga 2.42-2.43
Ni  0.7500  0.5548  0.0958  4 Ga 2.42-2.51, 1 Ni 2.51
Ni  0.7500  0.7500  0.0164  2 Ni 2.51, 4 Ga 2.52
Ni  0.7500  0.7500  0.4974  4 Ga 2.41-2.45
Ni  0.7500  0.9452  0.0958  4 Ga 2.42-2.51, 1 Ni 2.51